[1]
{"formula": "NaTl2Pt", "functional": "PBE-GGA", "state": "relaxed", "lattice": [[-2.0594, 0.2969, 3.7658], [-3.8937, -1.7693, 0.4679], [0.8875, -6.2750, 3.4378]], "species": ["Na", "Tl", "Tl", "Pt"], "frac_coords": [[0.5000, 0.5000, 0.5000], [0.2670, 0.2670, 0.1991], [0.7330, 0.7330, 0.8009], [0.0000, 0.0000, 0.0000]], "formation_enthalpy_0k_ev_per_fu": -0.372, "m_tot_mub_per_atom": 0.00, "mass_density_g_cm3": 9.59, "e_tot_ev_per_atom": -3.1162}

[2]
{"formula": "Na3Tl4Pt4", "functional": "PBE-GGA", "state": "relaxed", "lattice": [[-3.5778, -0.5179, -2.2746], [2.5325, -7.3916, -2.3006], [-2.8181, 0.9625, 8.2238]], "species": ["Na", "Na", "Na", "Tl", "Tl", "Tl", "Tl", "Pt", "Pt", "Pt", "Pt"], "frac_coords": [[0.1134, 0.1134, 0.2269], [0.8866, 0.8866, 0.7731], [0.0000, 0.5000, 0.0000], [0.3355, 0.1318, 0.6711], [0.6645, 0.4607, 0.3289], [0.6645, 0.8682, 0.3289], [0.3355, 0.5393, 0.6711], [0.2249, 0.7249, 0.4497], [0.7751, 0.2751, 0.5503], [0.5000, 0.8388, 0.0000], [0.5000, 0.1612, 0.0000]], "formation_enthalpy_0k_ev_per_fu": -1.582, "m_tot_mub_per_atom": 0.00, "mass_density_g_cm3": 10.69, "e_tot_ev_per_atom": -3.5606}

[3]
{"formula": "Na12Tl3Pt5", "functional": "PBE-GGA", "state": "relaxed", "lattice": [[15.2863, 0.0000, 0.0000], [-5.0954, 14.4121, 0.0000], [-5.0954, -7.2060, 12.4812]], "species": ["Tl", "Tl", "Tl", "Tl", "Tl", "Tl", "Tl", "Tl", "Tl", "Tl", "Tl", "Tl", "Pt", "Pt", "Pt", "Pt", "Pt", "Pt", "Pt", "Pt", "Pt", "Pt", "Pt", "Pt", "Pt", "Pt", "Pt", "Pt", "Pt", "Pt", "Pt", "Pt", "Na", "Na", "Na", "Na", "Na", "Na", "Na", "Na", "Na", "Na", "Na", "Na", "Na", "Na", "Na", "Na", "Na", "Na", "Na", "Na", "Na", "Na", "Na", "Na", "Na", "Na", "Na", "Na", "Na", "Na", "Na", "Na", "Na", "Na", "Na", "Na", "Na", "Na", "Na", "Na", "Na", "Na", "Na", "Na", "Na", "Na", "Na", "Na"], "frac_coords": [[0.7500, 0.3750, 0.1250], [0.8750, 0.7500, 0.1250], [0.3750, 0.7500, 0.6250], [0.2500, 0.1250, 0.3750], [0.8750, 0.1250, 0.2500], [0.3750, 0.6250, 0.2500], [0.6250, 0.3750, 0.7500], [0.1250, 0.8750, 0.7500], [0.7500, 0.8750, 0.6250], [0.6250, 0.2500, 0.3750], [0.1250, 0.2500, 0.8750], [0.2500, 0.6250, 0.8750], [0.1250, 0.3750, 0.2500], [0.0000, 0.5000, 0.0000], [0.0000, 0.0000, 0.0000], [0.3750, 0.2500, 0.1250], [0.5000, 0.0000, 0.5000], [0.5000, 0.5000, 0.0000], [0.1250, 0.7500, 0.3750], [0.7500, 0.1250, 0.8750], [0.7500, 0.6250, 0.3750], [0.3750, 0.1250, 0.7500], [0.6250, 0.8750, 0.2500], [0.5000, 0.5000, 0.5000], [0.5000, 0.0000, 0.0000], [0.0000, 0.0000, 0.5000], [0.2500, 0.3750, 0.6250], [0.2500, 0.8750, 0.1250], [0.0000, 0.5000, 0.5000], [0.8750, 0.2500, 0.6250], [0.6250, 0.7500, 0.8750], [0.8750, 0.6250, 0.7500], [0.6995, 0.0917, 0.0198], [0.3203, 0.5198, 0.4280], [0.9802, 0.4083, 0.3005], [0.5198, 0.1995, 0.0917], [0.6078, 0.6995, 0.6797], [0.9802, 0.5720, 0.1797], [0.3203, 0.8005, 0.3922], [0.0720, 0.8922, 0.0917], [0.5720, 0.9802, 0.6797], [0.6995, 0.6078, 0.1797], [0.8005, 0.4802, 0.4083], [0.8203, 0.9280, 0.0198], [0.0917, 0.6995, 0.5198], [0.4083, 0.4280, 0.1078], [0.1078, 0.9280, 0.4083], [0.3922, 0.0917, 0.5720], [0.1078, 0.1797, 0.1995], [0.4802, 0.6797, 0.0720], [0.8203, 0.8922, 0.3005], [0.0917, 0.3922, 0.0720], [0.4083, 0.9802, 0.8005], [0.5720, 0.5917, 0.3922], [0.9280, 0.8203, 0.5198], [0.8005, 0.3203, 0.8922], [0.4280, 0.4083, 0.6078], [0.0720, 0.1797, 0.4802], [0.1995, 0.6797, 0.1078], [0.1797, 0.1078, 0.6995], [0.5917, 0.0198, 0.1995], [0.9083, 0.6078, 0.9280], [0.5198, 0.3203, 0.9280], [0.6078, 0.9083, 0.4280], [0.8922, 0.8203, 0.8005], [0.8922, 0.0720, 0.5917], [0.9083, 0.3005, 0.4802], [0.1797, 0.0720, 0.9802], [0.5917, 0.5720, 0.8922], [0.4280, 0.0198, 0.3203], [0.3005, 0.3922, 0.8203], [0.1995, 0.5198, 0.5917], [0.9280, 0.1078, 0.9083], [0.6797, 0.1995, 0.6078], [0.4802, 0.8005, 0.9083], [0.0198, 0.4280, 0.8203], [0.3922, 0.3005, 0.3203], [0.0198, 0.5917, 0.6995], [0.6797, 0.4802, 0.5720], [0.3005, 0.9083, 0.9802]], "formation_enthalpy_0k_ev_per_fu": 6.381, "m_tot_mub_per_atom": 0.00, "mass_density_g_cm3": 4.50, "e_tot_ev_per_atom": -2.3375}

[4]
{"formula": "Na2TlPt2", "functional": "PBE-GGA", "state": "relaxed", "lattice": [[-1.7024, 1.0195, 3.3635], [-1.9338, -3.3924, 0.0494], [3.4188, -4.1202, 5.2465]], "species": ["Na", "Na", "Tl", "Pt", "Pt"], "frac_coords": [[0.7500, 0.2500, 0.5000], [0.2500, 0.7500, 0.5000], [0.0000, 0.0000, 0.0000], [0.4055, 0.4055, 0.1891], [0.5945, 0.5945, 0.8109]], "formation_enthalpy_0k_ev_per_fu": 0.926, "m_tot_mub_per_atom": 0.00, "mass_density_g_cm3": 10.01, "de_polymorph_mev_per_atom": 388.1, "e_tot_ev_per_atom": -3.2321}

[5]
{"formula": "NaTl3Pt8", "functional": "PBE-GGA", "state": "relaxed", "lattice": [[5.2110, 0.0000, 1.5731], [2.3681, 4.6418, 1.5731], [-0.0038, -0.0023, 9.4303]], "species": ["Na", "Tl", "Tl", "Tl", "Pt", "Pt", "Pt", "Pt", "Pt", "Pt", "Pt", "Pt"], "frac_coords": [[0.8737, 0.8737, 0.3790], [0.3768, 0.3768, 0.8696], [0.9953, 0.9953, 0.0141], [0.5042, 0.5042, 0.4875], [0.9378, 0.4369, 0.1883], [0.4371, 0.9381, 0.6867], [0.4369, 0.4369, 0.1883], [0.9381, 0.9381, 0.6867], [0.1874, 0.1874, 0.4378], [0.6877, 0.6877, 0.9370], [0.4369, 0.9378, 0.1883], [0.9381, 0.4371, 0.6867]], "formation_enthalpy_0k_ev_per_fu": -1.600, "m_tot_mub_per_atom": 0.00, "mass_density_g_cm3": 15.99, "e_tot_ev_per_atom": -4.8620}

[6]
{"formula": "Na3Tl4Pt2", "functional": "PBE-GGA", "state": "relaxed", "lattice": [[4.6050, 0.0000, 0.0000], [-2.3025, 5.8480, 0.5413], [0.0000, -1.5422, 8.6776]], "species": ["Na", "Na", "Na", "Tl", "Tl", "Tl", "Tl", "Pt", "Pt"], "frac_coords": [[0.6133, 0.2267, 0.6997], [0.0000, 0.0000, 0.0000], [0.3867, 0.7733, 0.3003], [0.6968, 0.3936, 0.0954], [0.3032, 0.6064, 0.9046], [0.9112, 0.8224, 0.6406], [0.0888, 0.1776, 0.3594], [0.7258, 0.4516, 0.4107], [0.2742, 0.5484, 0.5893]], "formation_enthalpy_0k_ev_per_fu": -1.401, "m_tot_mub_per_atom": 0.00, "mass_density_g_cm3": 8.93, "e_tot_ev_per_atom": -2.9895}

- Which formula does entry 5 have?
  NaTl3Pt8